Here is a geometry-optimized Li2Mn7O12 structure from the Alexandria database. Energies are from PBE+U.

## Properties
The value obtained for the total energy is -7.110 eV per atom. Its space group is P2_1, No. 4.

Unit cell a=9.0307 b=5.2306 c=10.0520 alpha=78.08 beta=90.00 gamma=90.00
With the nearest neighbours (Å) after each atom.
Positions (direct):
O1 0.0956 0.8727 0.6013  3 Mn 1.93-2.08, 1 Li 2.04
Mn1 0.2413 0.9975 0.7356  5 O 1.93-2.15
O2 0.7685 0.6670 0.3849  2 Mn 1.93-1.96, 2 Li 2.02-2.14
Mn2 0.9175 0.2396 0.0172  5 O 1.95-2.16
Li1 0.9127 0.5031 0.2731  5 O 2.02-2.25
O3 0.2455 0.8326 0.1192  3 Mn 1.93-2.16
O4 0.3936 0.5958 0.3873  3 Mn 1.96-1.98
Mn3 0.2583 0.4932 0.2553  4 O 1.92-2.05
O5 0.7455 0.1674 0.8808  3 Mn 1.93-2.16
Mn4 0.9218 0.7592 0.5047  6 O 1.92-2.00
O6 0.3841 0.1223 0.8784  3 Mn 1.95-2.13
Mn5 0.7491 0.7567 0.9958  4 O 1.95-1.99
O7 0.8965 0.1221 0.4014  3 Mn 1.97-2.15, 2 Li 2.12-2.14
O8 0.3965 0.8779 0.5986  3 Mn 1.97-2.15, 2 Li 2.12-2.14
O9 0.8841 0.8777 0.1216  3 Mn 1.95-2.13
O10 0.2704 0.1583 0.3768  2 Mn 1.92
O11 0.5811 0.8883 0.0841  3 Mn 1.95-1.99
O12 0.9183 0.6097 0.9171  3 Mn 1.95-1.99
O13 0.8936 0.4042 0.6127  3 Mn 1.96-1.98
Mn6 0.7583 0.5068 0.7447  4 O 1.92-2.05
O14 0.5785 0.3682 0.6053  2 Mn 1.94-1.99, 2 Li 2.05-2.13
Mn7 0.2426 0.7576 0.4874  4 O 1.93-1.98
Mn8 0.2491 0.2433 0.0042  4 O 1.95-1.99
Li2 0.4127 0.4969 0.7269  5 O 2.02-2.25
Mn9 0.4218 0.2408 0.4953  6 O 1.92-2.00
Mn10 0.7426 0.2424 0.5126  4 O 1.93-1.98
O15 0.4183 0.3903 0.0829  3 Mn 1.95-1.99
O16 0.7633 0.3393 0.1319  2 Mn 1.95-1.99
O17 0.2633 0.6607 0.8681  2 Mn 1.95-1.99
O18 0.0811 0.1117 0.9159  3 Mn 1.95-1.99
Mn11 0.7413 0.0025 0.2644  5 O 1.93-2.15
O19 0.6098 0.6095 0.8782  3 Mn 1.97-2.05
Mn12 0.5846 0.2556 0.9890  4 O 1.93-1.98
O20 0.1098 0.3905 0.1218  3 Mn 1.97-2.05
Li3 0.5780 0.7459 0.4970  6 O 2.04-2.27
O21 0.7704 0.8417 0.6232  2 Mn 1.92
O22 0.2685 0.3330 0.6151  2 Mn 1.93-1.96, 2 Li 2.02-2.14
Mn13 0.0846 0.7444 0.0110  4 O 1.93-1.98
Mn14 0.4175 0.7604 0.9828  5 O 1.95-2.16
Li4 0.0780 0.2541 0.5030  6 O 2.04-2.27
O23 0.5956 0.1273 0.3987  3 Mn 1.93-2.08, 1 Li 2.04
O24 0.0785 0.6318 0.3947  2 Mn 1.94-1.99, 2 Li 2.05-2.13